--- P ---
A plane-wave DFT calculation with PBE was carried out for an optimized crystal structure of LiNiAu.

Cell and atoms, written as CIF:
```
data_LiNiAu
_space_group_name_H-M_alt 'P 1'
_space_group_IT_number 1
_cell_length_a 2.715
_cell_length_b 3.879
_cell_length_c 7.944
_cell_angle_alpha 90.00
_cell_angle_beta 90.00
_cell_angle_gamma 90.00
loop_
_space_group_symop_operation_xyz
'x,y,z'
loop_
_atom_site_label
_atom_site_type_symbol
_atom_site_fract_x
_atom_site_fract_y
_atom_site_fract_z
Li1 Li 0.000 0.000 0.000
Li2 Li 0.500 0.500 0.500
Ni1 Ni 0.000 0.000 0.668
Ni2 Ni 0.500 0.500 0.168
Au1 Au 0.000 0.000 0.330
Au2 Au 0.500 0.500 0.830
```

---

--- Q ---
A plane-wave DFT calculation with PBE was carried out for an optimized crystal structure of LiNiAu.

Cell and atoms, written as CIF:
```
data_LiNiAu
_space_group_name_H-M_alt 'P 1'
_space_group_IT_number 1
_cell_length_a 4.617
_cell_length_b 7.916
_cell_length_c 4.876
_cell_angle_alpha 90.00
_cell_angle_beta 112.51
_cell_angle_gamma 90.00
loop_
_space_group_symop_operation_xyz
'x,y,z'
loop_
_atom_site_label
_atom_site_type_symbol
_atom_site_fract_x
_atom_site_fract_y
_atom_site_fract_z
Li1 Li 0.000 0.000 0.000
Li2 Li 0.000 0.330 0.000
Li3 Li 0.500 0.500 0.000
Li4 Li 0.500 0.830 0.000
Ni1 Ni 0.000 0.139 0.500
Ni2 Ni 0.000 0.804 0.500
Ni3 Ni 0.500 0.304 0.500
Ni4 Ni 0.500 0.639 0.500
Au1 Au 0.000 0.469 0.500
Au2 Au 0.000 0.672 0.000
Au3 Au 0.500 0.172 0.000
Au4 Au 0.500 0.969 0.500
```

---

Relative energies, kJ/mol of atoms: P 9.9; Q 0.0.

---

--- P ---
A plane-wave DFT calculation with PBE was carried out for an optimized crystal structure of LiNiAu.

Cell and atoms, written as CIF:
```
data_LiNiAu
_space_group_name_H-M_alt 'P 1'
_space_group_IT_number 1
_cell_length_a 13.300
_cell_length_b 2.774
_cell_length_c 4.400
_cell_angle_alpha 90.00
_cell_angle_beta 90.24
_cell_angle_gamma 90.00
loop_
_space_group_symop_operation_xyz
'x,y,z'
loop_
_atom_site_label
_atom_site_type_symbol
_atom_site_fract_x
_atom_site_fract_y
_atom_site_fract_z
Li1 Li 0.000 0.000 0.000
Li2 Li 0.186 0.000 0.496
Li3 Li 0.500 0.500 0.000
Li4 Li 0.686 0.500 0.496
Ni1 Ni 0.341 0.000 0.159
Ni2 Ni 0.345 0.500 0.659
Ni3 Ni 0.841 0.500 0.159
Ni4 Ni 0.845 0.000 0.659
Au1 Au 0.009 0.500 0.496
Au2 Au 0.177 0.500 0.992
Au3 Au 0.509 0.000 0.496
Au4 Au 0.677 0.000 0.992
```

---

--- Q ---
A plane-wave DFT calculation with PBE was carried out for an optimized crystal structure of LiNiAu.

Cell and atoms, written as CIF:
```
data_LiNiAu
_space_group_name_H-M_alt 'P 1'
_space_group_IT_number 1
_cell_length_a 4.546
_cell_length_b 7.926
_cell_length_c 4.593
_cell_angle_alpha 90.00
_cell_angle_beta 90.00
_cell_angle_gamma 90.00
loop_
_space_group_symop_operation_xyz
'x,y,z'
loop_
_atom_site_label
_atom_site_type_symbol
_atom_site_fract_x
_atom_site_fract_y
_atom_site_fract_z
Li1 Li 0.000 0.169 0.000
Li2 Li 0.000 0.331 0.500
Li3 Li 0.000 0.669 0.500
Li4 Li 0.000 0.831 0.000
Ni1 Ni 0.500 0.165 0.620
Ni2 Ni 0.500 0.335 0.120
Ni3 Ni 0.500 0.665 0.120
Ni4 Ni 0.500 0.835 0.620
Au1 Au 0.000 0.000 0.515
Au2 Au 0.000 0.500 0.015
Au3 Au 0.500 0.000 0.118
Au4 Au 0.500 0.500 0.618
```

---

Relative energies, kJ/mol of atoms: P 2.2; Q 0.0.

---

--- P ---
A plane-wave DFT calculation with PBE was carried out for an optimized crystal structure of LiNi3Au.

Cell and atoms, written as CIF:
```
data_LiNi3Au
_space_group_name_H-M_alt 'P 1'
_space_group_IT_number 1
_cell_length_a 4.735
_cell_length_b 4.735
_cell_length_c 4.735
_cell_angle_alpha 90.00
_cell_angle_beta 90.00
_cell_angle_gamma 90.00
loop_
_space_group_symop_operation_xyz
'x,y,z'
loop_
_atom_site_label
_atom_site_type_symbol
_atom_site_fract_x
_atom_site_fract_y
_atom_site_fract_z
Li1 Li 0.000 0.000 0.000
Ni1 Ni 0.000 0.500 0.500
Ni2 Ni 0.500 0.000 0.500
Ni3 Ni 0.500 0.500 0.000
Au1 Au 0.500 0.500 0.500
```

---

--- Q ---
A plane-wave DFT calculation with PBE was carried out for an optimized crystal structure of LiNi3Au.

Cell and atoms, written as CIF:
```
data_LiNi3Au
_space_group_name_H-M_alt 'P 1'
_space_group_IT_number 1
_cell_length_a 3.974
_cell_length_b 3.974
_cell_length_c 3.974
_cell_angle_alpha 90.00
_cell_angle_beta 90.00
_cell_angle_gamma 90.00
loop_
_space_group_symop_operation_xyz
'x,y,z'
loop_
_atom_site_label
_atom_site_type_symbol
_atom_site_fract_x
_atom_site_fract_y
_atom_site_fract_z
Li1 Li 0.000 0.000 0.000
Ni1 Ni 0.000 0.000 0.500
Ni2 Ni 0.000 0.500 0.000
Ni3 Ni 0.500 0.000 0.000
Au1 Au 0.500 0.500 0.500
```

---

Relative energies, kJ/mol of atoms: P 38.5; Q 0.0.